Entry 1:
{"formula": "Si2MoPt", "functional": "PBE", "state": "optimized geometry", "lattice_angstrom": [[1.5899, -2.4105, 0.0000], [1.5899, 2.4105, 0.0000], [0.0000, 0.0000, 7.7517]], "species": ["Si", "Si", "Mo", "Pt"], "frac_coords": [[0.0000, 0.0000, 0.2470], [0.0000, 0.0000, 0.7530], [0.5000, 0.5000, 0.0000], [0.5000, 0.5000, 0.5000]], "final_energy_ev_per_atom": -7.04, "dos_at_fermi_per_ev_fu": 1.26}

Entry 2:
{"formula": "Si2MoPt", "functional": "PBE", "state": "optimized geometry", "lattice_angstrom": [[-1.7801, 1.7801, 4.5292], [1.7801, -1.7801, 4.5292], [1.7801, 1.7801, -4.5292]], "species": ["Si", "Si", "Mo", "Pt"], "frac_coords": [[0.0000, 0.0000, 0.0000], [0.7500, 0.2500, 0.5000], [0.2500, 0.7500, 0.5000], [0.5000, 0.5000, 0.0000]], "final_energy_ev_per_atom": -7.21, "dos_at_fermi_per_ev_fu": 1.48}

Entry 3:
{"formula": "SiMo2Pt", "functional": "PBE", "state": "optimized geometry", "lattice_angstrom": [[2.7815, 0.0000, 0.0000], [0.0000, 4.1830, 0.0000], [-1.0347, 0.0000, 5.1683]], "species": ["Si", "Mo", "Mo", "Pt"], "frac_coords": [[0.0000, 0.0000, 0.0000], [0.3138, 0.0000, 0.4972], [0.5793, 0.5000, 0.2293], [0.9070, 0.5000, 0.7541]], "final_energy_ev_per_atom": -8.56, "dos_at_fermi_per_ev_fu": 2.43}

Entry 4:
{"formula": "SiMo3Pt", "functional": "PBE", "state": "optimized geometry", "lattice_angstrom": [[4.4386, 0.0000, 0.0000], [0.0000, 4.4386, 0.0000], [0.0000, 0.0000, 4.4386]], "species": ["Si", "Mo", "Mo", "Mo", "Pt"], "frac_coords": [[0.0000, 0.0000, 0.0000], [0.0000, 0.0000, 0.5000], [0.0000, 0.5000, 0.0000], [0.5000, 0.0000, 0.0000], [0.5000, 0.5000, 0.5000]], "final_energy_ev_per_atom": -7.87, "dos_at_fermi_per_ev_fu": 4.16, "e_above_lowest_polymorph_kj_per_mol_atoms": 0.0}

Entry 5:
{"formula": "Si3MoPt2", "functional": "PBE", "state": "optimized geometry", "lattice_angstrom": [[3.5124, 0.0000, 0.0000], [0.0000, 9.2469, 0.0000], [0.0000, 0.0000, 5.5263]], "species": ["Si", "Si", "Si", "Si", "Si", "Si", "Mo", "Mo", "Pt", "Pt", "Pt", "Pt"], "frac_coords": [[0.0000, 0.0643, 0.0000], [0.0000, 0.2775, 0.5110], [0.0000, 0.7225, 0.0110], [0.0000, 0.9357, 0.5000], [0.5000, 0.3735, 0.1710], [0.5000, 0.6265, 0.6710], [0.5000, 0.1047, 0.3266], [0.5000, 0.8953, 0.8266], [0.0000, 0.4693, 0.8287], [0.0000, 0.5307, 0.3287], [0.5000, 0.2142, 0.8271], [0.5000, 0.7858, 0.3271]], "final_energy_ev_per_atom": -7.17, "dos_at_fermi_per_ev_fu": 1.43}

Entry 6:
{"formula": "Si2MoPt", "functional": "PBE", "state": "optimized geometry", "lattice_angstrom": [[2.9043, 0.0000, 0.0000], [0.0000, 3.8045, 0.0000], [0.0000, 0.0000, 5.3467]], "species": ["Si", "Si", "Mo", "Pt"], "frac_coords": [[0.0000, 0.0000, 0.2234], [0.0000, 0.0000, 0.7766], [0.5000, 0.5000, 0.0000], [0.0000, 0.5000, 0.5000]], "final_energy_ev_per_atom": -7.28, "dos_at_fermi_per_ev_fu": 2.07}

Entry 7:
{"formula": "Si2MoPt", "functional": "PBE", "state": "optimized geometry", "lattice_angstrom": [[2.7370, 0.0000, 0.0000], [0.0000, 2.7370, 0.0000], [0.0000, 0.0000, 7.8082]], "species": ["Si", "Si", "Mo", "Pt"], "frac_coords": [[0.0000, 0.0000, 0.0000], [0.5000, 0.5000, 0.2500], [0.0000, 0.0000, 0.4973], [0.5000, 0.5000, 0.7577]], "final_energy_ev_per_atom": -6.97, "dos_at_fermi_per_ev_fu": 0.95}

Entry 8:
{"formula": "Si2MoPt", "functional": "PBE", "state": "optimized geometry", "lattice_angstrom": [[4.1920, 0.0000, 0.0000], [0.0000, 4.1920, 0.0000], [0.0000, 0.0000, 3.1846]], "species": ["Si", "Si", "Mo", "Pt"], "frac_coords": [[0.0000, 0.5000, 0.0000], [0.5000, 0.0000, 0.0000], [0.0000, 0.0000, 0.5000], [0.5000, 0.5000, 0.5000]], "final_energy_ev_per_atom": -7.33, "dos_at_fermi_per_ev_fu": 2.06}

The energy relative to the elements, uncorrected results, record by record, are as follows: -113; -280; -274; 919; -637; -355; -44; -401 meV/atom.